Record 1
# YAgOs2 GGA-PBE relaxed
# - DFT formation energy: 0.676 eV/atom
# - M_tot: 0.000 Bohr magnetons per cell
data_YAgOs2
_chemical_formula_sum 'Y2 Ag2 Os4'
_space_group_name_H-M_alt 'C m m m'
_space_group_IT_number 65
_space_group_name_Hall '-C 2 2'
_cell_length_a 3.183
_cell_length_b 4.657
_cell_length_c 9.418
_cell_angle_alpha 90.00
_cell_angle_beta 90.00
_cell_angle_gamma 90.00
loop_
_atom_site_label
_atom_site_type_symbol
_atom_site_fract_x
_atom_site_fract_y
_atom_site_fract_z
Y1 Y 0.000 0.000 0.000
Ag1 Ag 0.000 0.000 0.500
Os1 Os 0.000 0.500 0.250

***

Record 2
# Y8Ag2Os GGA-PBE relaxed
# - DFT formation energy: -0.180 eV/atom
# - M_tot: 0.000 Bohr magnetons per cell
data_Y8Ag2Os
_chemical_formula_sum 'Y16 Ag4 Os2'
_space_group_name_H-M_alt 'C 1 2/m 1'
_space_group_IT_number 12
_space_group_name_Hall '-C 2y'
_cell_length_a 17.502
_cell_length_b 5.226
_cell_length_c 6.892
_cell_angle_alpha 90.00
_cell_angle_beta 108.14
_cell_angle_gamma 90.00
loop_
_atom_site_label
_atom_site_type_symbol
_atom_site_fract_x
_atom_site_fract_y
_atom_site_fract_z
Y1 Y 0.028 0.000 0.297
Y2 Y 0.090 0.500 0.930
Y3 Y 0.160 0.500 0.468
Y4 Y 0.198 0.000 0.806
Ag1 Ag 0.183 0.000 0.212
Os1 Os 0.000 0.500 0.500